Entry from Alexandria: a relaxed PuPaS4 crystal (PBE-GGA).

a b c (Å): 4.5777 4.5777 6.5061
angles (deg): 90.09 90.09 90.00
With the nearest neighbours (Å) after each atom.
Positions (direct):
Pu: 0.0000 0.0000 0.0000  8 S 2.83
Pa: 0.5000 0.5000 0.5000  8 S 2.78-2.79
S: 0.9997 0.5003 0.2562  2 Pa 2.78-2.79, 2 Pu 2.83
S: 0.0003 0.4997 0.7438  2 Pa 2.78-2.79, 2 Pu 2.83
S: 0.5003 0.9997 0.2562  2 Pa 2.78-2.79, 2 Pu 2.83
S: 0.4997 0.0003 0.7438  2 Pa 2.78-2.79, 2 Pu 2.83

Formation energy from raw total energies   -1.628 eV/atom
DFT total energy   -50.10 eV per cell
Relative energy among the computed polymorphs   0.0 meV/atom